Entry 1:
LiCaNpF6 | GGA-PBE | optimized geometry

Uncorrected formation energy ... -3425 meV/atom
Electronic total energy ... -6.545 eV per atom
Fermi-level density of states ... 6.5 states/eV/cell
Density ... 4.9 g cm⁻³

Geometry as POSCAR:
```
LiCaNpF6
1.0
-3.512 -3.400 2.784
-0.503 0.612 -5.569
6.253 -7.606 -1.401
Li Ca Np F
2 2 2 12
Direct
0.333 0.667 0.250
0.667 0.333 0.750
0.000 0.000 0.000
0.000 0.000 0.500
0.667 0.333 0.250
0.333 0.667 0.750
0.652 0.678 0.132
0.026 0.348 0.132
0.348 0.026 0.632
0.974 0.652 0.868
0.322 0.348 0.368
0.026 0.678 0.368
0.678 0.026 0.868
0.652 0.974 0.368
0.974 0.322 0.632
0.322 0.974 0.132
0.678 0.652 0.632
0.348 0.322 0.868
```

=====

Entry 2:
LiCaO2F | GGA-PBE | optimized geometry

Uncorrected formation energy ... -1848 meV/atom
Electronic total energy ... -4.989 eV per atom
Fermi-level density of states ... 3.4 states/eV/cell
Density ... 3.0 g cm⁻³

Geometry as POSCAR:
```
LiCaO2F
1.0
3.730 0.000 0.000
0.000 3.730 0.000
0.000 0.000 3.916
Ca Li O F
1 1 2 1
Direct
0.500 0.500 0.500
0.000 0.000 0.000
0.000 0.500 0.000
0.500 0.000 0.000
0.000 0.000 0.500
```

=====

Entry 3:
LiCaO2F | GGA-PBE | optimized geometry

Uncorrected formation energy ... -1434 meV/atom
Electronic total energy ... -4.575 eV per atom
Fermi-level density of states ... 1.7 states/eV/cell
Density ... 2.7 g cm⁻³

Geometry as POSCAR:
```
LiCaO2F
1.0
3.487 0.000 0.000
0.000 5.049 0.000
0.000 0.000 3.487
Ca Li O F
1 1 2 1
Direct
0.000 0.500 0.000
0.000 0.000 0.000
0.000 0.000 0.500
0.500 0.000 0.000
0.500 0.500 0.500
```

=====

Entry 4:
LiCaO2F | GGA-PBE | optimized geometry

Uncorrected formation energy ... -1503 meV/atom
Electronic total energy ... -4.644 eV per atom
Fermi-level density of states ... 6.0 states/eV/cell
Density ... 1.8 g cm⁻³

Geometry as POSCAR:
```
LiCaO2F
1.0
4.509 0.000 0.000
0.000 4.509 0.000
0.000 0.000 4.413
Ca Li O F
1 1 2 1
Direct
0.000 0.000 0.000
0.500 0.500 0.500
0.000 0.500 0.000
0.500 0.000 0.000
0.000 0.000 0.500
```

=====

Question: Look up the density of the third one.
Answer: 2.7 g cm⁻³

=====

Question: Which value of uncorrected formation energy does entry 2 give?
Answer: -1848 meV/atom